La2Mg4Sb3H2 (GGA-PBE, optimized geometry); SG = I4/mmm, No. 139; uncorrected energy = -3.78 eV per atom
1.0
-2.272 2.272 12.048
2.272 -2.272 12.048
2.272 2.272 -12.048
La Mg Sb H
2 4 3 2
Cartesian
0.000 0.000 4.643
0.000 0.000 19.452
2.272 0.000 1.946
2.272 0.000 10.102
0.000 2.272 1.946
0.000 2.272 10.102
0.000 0.000 7.925
0.000 0.000 12.048
0.000 0.000 16.171
0.000 0.000 2.167
0.000 0.000 21.928

---

Ni4Ir3Os2 (GGA-PBE, optimized geometry); SG = P-1, No. 2; formation energy = 0.34 eV/f.u.
1.0
4.586 0.000 0.000
0.037 6.788 0.000
2.278 2.386 7.516
Ni Ir Os
8 6 4
Cartesian
0.404 3.207 1.224
2.696 8.340 5.416
2.702 6.308 3.762
4.216 6.966 7.066
2.686 2.207 0.450
4.199 2.865 3.754
4.205 0.833 2.100
6.498 5.966 6.292
2.639 3.626 7.128
1.923 1.852 2.898
2.718 4.216 2.078
4.183 4.957 5.438
4.978 7.322 4.618
4.262 5.547 0.388
1.905 3.939 4.596
1.967 6.629 1.267
4.934 2.544 6.249
4.996 5.234 2.920

---

Cu2PdPt6 (GGA-PBE, optimized geometry); SG = R3m, No. 160; offset from the most stable computed form = 1.85 eV per formula unit; formation energy = 2.11 eV/f.u.
1.0
2.673 1.543 6.625
-2.673 1.543 6.625
0.000 -3.086 6.625
Cu Pd Pt
2 1 6
Cartesian
0.000 0.000 0.000
0.000 0.000 4.126
0.000 0.000 15.322
-1.316 -0.760 6.555
-1.341 -0.774 10.841
1.316 -0.760 6.555
0.000 1.520 6.555
1.341 -0.774 10.841
0.000 1.548 10.841

---

We obtain spin magnetization values of 0.0; 0.0; 0.0 μB per cell for the records listed above, in that order.